# SmHo3Co2 | Alexandria via LeMat-Bulk | PBE | relaxed
# DOS(E_F) ... 1.272 states/eV per atom
# Total magnetic moment ... 0.00 μB/f.u.
# Energy above the lowest structure with this stoichiometry ... 0 meV/atom
# Uncorrected energy ... -5.587 eV per atom
data_SmHo3Co2
_cell_length_a 16.420
_cell_length_b 3.740
_cell_length_c 11.688
_cell_angle_alpha 90.00
_cell_angle_beta 124.62
_cell_angle_gamma 90.00
_symmetry_space_group_name_H-M 'C 1 2/m 1'
_symmetry_Int_Tables_number 12
_symmetry_space_group_name_Hall '-C 2y'
loop_
_atom_site_label
_atom_site_type_symbol
_atom_site_fract_x
_atom_site_fract_y
_atom_site_fract_z
_atom_site_occupancy
Sm1 Sm 0.157 0.000 0.245 1
Ho1 Ho 0.084 0.500 0.445 1
Ho2 Ho 0.085 0.500 0.938 1
Ho3 Ho 0.158 0.000 0.748 1
Co1 Co 0.233 0.000 0.047 1
Co2 Co 0.235 0.000 0.550 1

=====

# SmHo2Co | Alexandria via LeMat-Bulk | PBE | relaxed
# DOS(E_F) ... 1.302 states/eV per atom
# Total magnetic moment ... 0.00 μB/f.u.
# Energy above the lowest structure with this stoichiometry ... 24 meV/atom
# Uncorrected energy ... -5.371 eV per atom
data_SmHo2Co
_cell_length_a 3.647
_cell_length_b 12.080
_cell_length_c 9.420
_cell_angle_alpha 90.00
_cell_angle_beta 90.00
_cell_angle_gamma 90.00
_symmetry_space_group_name_H-M 'C m c m'
_symmetry_Int_Tables_number 63
_symmetry_space_group_name_Hall '-C 2c 2'
loop_
_atom_site_label
_atom_site_type_symbol
_atom_site_fract_x
_atom_site_fract_y
_atom_site_fract_z
_atom_site_occupancy
Sm1 Sm 0.000 0.083 0.250 1
Ho1 Ho 0.000 0.359 0.073 1
Co1 Co 0.000 0.245 0.750 1

=====

# SmHo4Co4 | Alexandria via LeMat-Bulk | PBE | relaxed
# DOS(E_F) ... 0.595 states/eV per atom
# Total magnetic moment ... 0.00 μB/f.u.
# Uncorrected energy ... -5.775 eV per atom
data_SmHo4Co4
_cell_length_a 8.432
_cell_length_b 8.432
_cell_length_c 5.536
_cell_angle_alpha 90.00
_cell_angle_beta 90.00
_cell_angle_gamma 90.00
_symmetry_space_group_name_H-M 'P 42/n'
_symmetry_Int_Tables_number 86
loop_
_symmetry_equiv_pos_as_xyz
'x,y,z'
'-x,-y,-z'
'-y,x+1/2,z+1/2'
'y,-x+1/2,-z+1/2'
'-x+1/2,-y+1/2,z'
'x+1/2,y+1/2,-z'
'y+1/2,-x,z+1/2'
'-y+1/2,x,-z+1/2'
loop_
_atom_site_label
_atom_site_type_symbol
_atom_site_fract_x
_atom_site_fract_y
_atom_site_fract_z
_atom_site_occupancy
Sm1 Sm 0.250 0.250 0.250 1
Ho1 Ho 0.064 0.672 0.134 1
Co1 Co 0.016 0.610 0.618 1